Record 1
Density functional theory data (PBE-GGA) for a geometry-optimized Th5TlTe4 structure.

Cell: 3.8126 3.8126 19.8481 Å, 90.00 90.00 90.00°
Fractional positions:
Th 0.5000 0.5000 0.5000
Th 0.5000 0.5000 0.3042
Th 0.5000 0.5000 0.1072
Th 0.5000 0.5000 0.6958
Th 0.5000 0.5000 0.8928
Tl 0.0000 0.0000 0.0000
Te 0.0000 0.0000 0.5975
Te 0.0000 0.0000 0.2072
Te 0.0000 0.0000 0.4025
Te 0.0000 0.0000 0.7928

## Properties
SG = No. 123
energy relative to the elements, uncorrected = -0.88 eV per atom
energy = -6.086 eV per atom

Record 2
Density functional theory data (PBE-GGA) for a geometry-optimized Th4TlTe3 structure.

Cell: 3.7998 3.7998 16.0238 Å, 90.00 90.00 90.00°
Fractional positions:
Te 0.5000 0.5000 0.2578
Te 0.5000 0.5000 0.5000
Te 0.5000 0.5000 0.7422
Tl 0.5000 0.5000 0.0000
Th 0.0000 0.0000 0.6215
Th 0.0000 0.0000 0.3785
Th 0.0000 0.0000 0.1336
Th 0.0000 0.0000 0.8664

## Properties
SG = No. 123
energy relative to the elements, uncorrected = -0.83 eV per atom
energy = -6.017 eV per atom

Record 3
Density functional theory data (PBE-GGA) for a geometry-optimized Th2Tl2Te5 structure.

Cell: 8.6909 8.6717 9.5636 Å, 116.96 90.00 90.00°
Fractional positions:
Tl 0.5000 0.6993 0.3987
Tl 0.0000 0.8007 0.6013
Tl 0.5000 0.3007 0.6013
Tl 0.0000 0.1993 0.3987
Te 0.8533 0.7662 0.2389
Te 0.0000 0.0000 0.0000
Te 0.1467 0.2338 0.7611
Te 0.5000 0.5000 0.0000
Te 0.3533 0.9726 0.2389
Te 0.3533 0.7338 0.7611
Te 0.8533 0.5274 0.7611
Te 0.6467 0.2662 0.2389
Te 0.1467 0.4726 0.2389
Te 0.6467 0.0274 0.7611
Th 0.6577 0.8424 0.0000
Th 0.8423 0.3424 0.0000
Th 0.3423 0.1576 0.0000
Th 0.1577 0.6576 0.0000

## Properties
SG = No. 64
energy relative to the elements, uncorrected = -0.92 eV per atom
energy = -4.845 eV per atom

Record 4
Density functional theory data (PBE-GGA) for a geometry-optimized Th6TlTe5 structure.

Cell: 7.7462 7.7877 7.7810 Å, 59.97 80.39 70.52°
Fractional positions:
Te 0.0000 0.3356 0.3287
Te 0.5000 0.8318 0.3363
Te 0.5000 0.5000 0.0000
Te 0.0000 0.6644 0.6713
Te 0.5000 0.1682 0.6637
Th 0.7524 0.0808 0.3331
Th 0.2476 0.9192 0.6669
Th 0.7524 0.4139 0.6669
Th 0.2476 0.5861 0.3331
Th 0.2546 0.2438 0.0000
Th 0.7454 0.7562 0.0000
Tl 0.0000 0.0000 0.0000

## Properties
SG = No. 12
energy relative to the elements, uncorrected = -0.86 eV per atom
energy = -6.075 eV per atom

Record 5
Density functional theory data (PBE-GGA) for a geometry-optimized Tm2ThTl3Te6 structure.

Cell: 7.6287 7.6287 8.6942 Å, 98.42 98.42 119.99°
Fractional positions:
Tl 0.8351 0.1649 0.5000
Tl 0.5000 0.5000 0.5000
Tl 0.1649 0.8351 0.5000
Te 0.4125 0.0720 0.2154
Te 0.9280 0.5875 0.7846
Te 0.5875 0.9280 0.7846
Te 0.7305 0.7305 0.2138
Te 0.2695 0.2695 0.7862
Te 0.0720 0.4125 0.2154
Tm 0.3330 0.6670 0.0000
Tm 0.6670 0.3330 0.0000
Th 0.0000 0.0000 0.0000

## Properties
SG = No. 12
energy relative to the elements, uncorrected = -0.95 eV per atom
energy = -4.475 eV per atom

Record 6
Density functional theory data (PBE-GGA) for a geometry-optimized Tm3ThTl4Te8 structure.

Cell: 8.8207 9.7073 8.8220 Å, 117.05 120.00 90.00°
Fractional positions:
Te 0.7366 0.7096 0.4732
Te 0.2634 0.2904 0.5268
Te 0.7581 0.2848 0.5162
Te 0.2685 0.2848 0.0265
Te 0.2419 0.7152 0.9735
Te 0.7315 0.7152 0.9735
Te 0.2419 0.7152 0.4838
Te 0.7581 0.2848 0.0265
Tl 0.0000 0.0000 0.5000
Tl 0.0000 0.0000 0.0000
Tl 0.5000 0.0000 0.5000
Tl 0.5000 0.0000 0.0000
Tm 0.5000 0.5000 0.5000
Tm 0.5000 0.5000 0.0000
Tm 0.0000 0.5000 0.5000
Th 0.0000 0.5000 0.0000

## Properties
SG = No. 166
energy relative to the elements, uncorrected = -0.97 eV per atom
energy = -4.432 eV per atom

Record 7
Density functional theory data (PBE-GGA) for a geometry-optimized ThU2Tl3Te6 structure.

Cell: 7.6252 7.6252 8.8154 Å, 98.29 98.29 119.99°
Fractional positions:
Te 0.0736 0.4094 0.2205
Te 0.2626 0.2626 0.7801
Te 0.5906 0.9264 0.7795
Te 0.7374 0.7374 0.2199
Te 0.4094 0.0736 0.2205
Te 0.9264 0.5906 0.7795
U 0.6668 0.3332 0.0000
U 0.3332 0.6668 0.0000
Tl 0.8338 0.1662 0.5000
Tl 0.5000 0.5000 0.5000
Tl 0.1662 0.8338 0.5000
Th 0.0000 0.0000 0.0000

## Properties
SG = No. 12
energy relative to the elements, uncorrected = -0.63 eV per atom
energy = -5.293 eV per atom

Record 8
Density functional theory data (PBE-GGA) for a geometry-optimized Th3UTl3Te8 structure.

Cell: 8.8016 8.8006 9.9146 Å, 116.34 90.00 120.00°
Fractional positions:
Te 0.2590 0.0195 0.2800
Te 0.2396 0.4791 0.7200
Te 0.7604 0.5209 0.2800
Te 0.2395 0.9805 0.7200
Te 0.7605 0.0195 0.2800
Te 0.7417 0.4834 0.7250
Te 0.2583 0.5166 0.2750
Te 0.7410 0.9805 0.7200
Th 0.5000 0.5000 0.5000
Th 0.5000 0.0000 0.5000
Th 0.0000 0.5000 0.5000
U 0.0000 0.0000 0.5000
Tl 0.0000 0.5000 0.0000
Tl 0.5000 0.5000 0.0000
Tl 0.0000 0.0000 0.0000

## Properties
SG = No. 166
energy relative to the elements, uncorrected = -0.82 eV per atom
energy = -5.203 eV per atom

What is the energy relative to the elements, uncorrected in the sixth record? -0.97 eV per atom

Among the records above, which one has the lowest energy relative to the elements, uncorrected? Tm3ThTl4Te8

Among the records above, which one has the lowest energy relative to the elements, uncorrected? Tm3ThTl4Te8

Which of these has the highest energy? Tm3ThTl4Te8